No. 1
Compound: Pm2Al3Ge4
Source: Alexandria via LeMat-Bulk
Functional: PBE-GGA
Structure: optimized geometry Values from VASP.

Computed properties:
Formation enthalpy at 0 K = -4.18 eV per formula unit
Space-group type = Cmce, No. 64
E = -4.8193 eV per atom

The structure in Quantum ESPRESSO input format:
```
&SYSTEM
  ibrav = 0, nat = 18, ntyp = 3
/
ATOMIC_SPECIES
Ge 72.64 Ge.upf
Al 26.98 Al.upf
Pm 145.00 Pm.upf
CELL_PARAMETERS angstrom
6.154 0.000 0.000
0.000 7.935 0.000
-3.077 0.000 7.457
ATOMIC_POSITIONS angstrom
Ge 3.077 4.371 2.782
Ge 0.000 3.565 4.675
Ge 1.538 1.984 0.691
Ge 3.077 0.403 4.675
Ge 4.615 1.984 0.691
Ge 1.538 5.952 6.766
Ge 0.000 7.532 2.782
Ge -1.538 5.952 6.766
Al -1.538 5.952 4.237
Al 3.077 3.968 0.000
Al 4.615 1.984 3.220
Al 1.538 5.952 4.237
Al 0.000 0.000 0.000
Al 1.538 1.984 3.220
Pm 0.000 0.660 5.761
Pm 3.077 3.308 5.761
Pm 0.000 4.627 1.696
Pm 3.077 7.276 1.696
```



No. 2
Compound: Pm2AlGe
Source: Alexandria via LeMat-Bulk
Functional: PBE-GGA
Structure: optimized geometry Values from VASP.

Computed properties:
Formation enthalpy at 0 K = -2.68 eV per formula unit
Space-group type = P2_1/m, No. 11
E = -5.1353 eV per atom

The structure in Quantum ESPRESSO input format:
```
&SYSTEM
  ibrav = 0, nat = 8, ntyp = 3
/
ATOMIC_SPECIES
Al 26.98 Al.upf
Pm 145.00 Pm.upf
Ge 72.64 Ge.upf
CELL_PARAMETERS angstrom
-0.164 -1.899 -3.628
1.342 -5.251 2.687
-8.886 1.412 -0.337
ATOMIC_POSITIONS angstrom
Al -5.918 -1.334 -0.192
Al -1.790 -4.403 -1.087
Pm 0.405 -4.498 1.178
Pm -3.620 -1.980 -2.272
Pm -8.113 -1.239 -2.457
Pm -4.088 -3.758 0.994
Ge -6.270 -3.715 -1.245
Ge -1.438 -2.023 -0.034
```



No. 3
Compound: Pm5AlGe6
Source: Alexandria via LeMat-Bulk
Functional: PBE-GGA
Structure: optimized geometry Values from VASP.

Computed properties:
Formation enthalpy at 0 K = -6.55 eV per formula unit
Space-group type = C2/m, No. 12
E = -5.1461 eV per atom

The structure in Quantum ESPRESSO input format:
```
&SYSTEM
  ibrav = 0, nat = 12, ntyp = 3
/
ATOMIC_SPECIES
Ge 72.64 Ge.upf
Pm 145.00 Pm.upf
Al 26.98 Al.upf
CELL_PARAMETERS angstrom
-0.477 -4.543 3.274
-2.876 -7.075 -3.316
5.253 -5.462 -3.354
ATOMIC_POSITIONS angstrom
Ge -2.534 -9.119 0.352
Ge 1.086 -5.767 1.135
Ge -0.154 -7.084 -2.263
Ge -0.819 -2.499 -0.395
Ge 0.814 -11.314 -4.531
Ge 2.054 -9.996 -1.133
Pm 0.847 -4.195 -2.237
Pm -1.677 -5.809 -0.021
Pm -1.158 -9.909 -2.175
Pm 3.058 -7.171 -1.221
Pm 1.530 -8.342 -4.433
Al 0.000 0.000 0.000
```



No. 4
Compound: PmAl4Ge
Source: Alexandria via LeMat-Bulk
Functional: PBE-GGA
Structure: optimized geometry Values from VASP.

Computed properties:
Formation enthalpy at 0 K = -0.85 eV per formula unit
Space-group type = F-43m, No. 216
E = -4.1972 eV per atom

The structure in Quantum ESPRESSO input format:
```
&SYSTEM
  ibrav = 0, nat = 6, ntyp = 3
/
ATOMIC_SPECIES
Ge 72.64 Ge.upf
Al 26.98 Al.upf
Pm 145.00 Pm.upf
CELL_PARAMETERS angstrom
-4.739 2.818 0.549
-3.823 -1.692 3.636
-0.953 2.950 4.592
ATOMIC_POSITIONS angstrom
Ge 0.000 0.000 0.000
Al -4.033 3.398 3.665
Al -3.573 1.135 5.214
Al -5.951 2.549 5.490
Al -5.473 1.069 3.185
Pm -2.379 1.019 2.194
```



No. 5
Compound: Pm2AlGe5
Source: Alexandria via LeMat-Bulk
Functional: PBE-GGA
Structure: optimized geometry Values from VASP.

Computed properties:
Formation enthalpy at 0 K = -3.43 eV per formula unit
Space-group type = I4mm, No. 107
E = -4.9703 eV per atom

The structure in Quantum ESPRESSO input format:
```
&SYSTEM
  ibrav = 0, nat = 8, ntyp = 3
/
ATOMIC_SPECIES
Al 26.98 Al.upf
Ge 72.64 Ge.upf
Pm 145.00 Pm.upf
CELL_PARAMETERS angstrom
6.092 0.000 0.000
0.000 6.092 0.000
-3.046 -3.046 4.618
ATOMIC_POSITIONS angstrom
Al 0.000 0.000 1.159
Ge 1.378 1.378 4.366
Ge -1.378 1.378 4.366
Ge 1.378 -1.378 4.366
Ge 3.046 3.046 2.904
Ge -1.378 -1.378 4.366
Pm 3.046 0.000 2.061
Pm 0.000 3.046 2.061
```



No. 6
Compound: Pm4Al3Ge
Source: Alexandria via LeMat-Bulk
Functional: PBE-GGA
Structure: optimized geometry Values from VASP.

Computed properties:
Formation enthalpy at 0 K = -4.11 eV per formula unit
Space-group type = Pmm2, No. 25
E = -4.8697 eV per atom

The structure in Quantum ESPRESSO input format:
```
&SYSTEM
  ibrav = 0, nat = 8, ntyp = 3
/
ATOMIC_SPECIES
Pm 145.00 Pm.upf
Al 26.98 Al.upf
Ge 72.64 Ge.upf
CELL_PARAMETERS angstrom
4.518 0.000 0.000
0.000 4.139 0.000
0.000 0.000 11.398
ATOMIC_POSITIONS angstrom
Pm 2.259 2.069 4.052
Pm 2.259 0.000 7.331
Pm 0.000 2.069 9.801
Pm 0.000 0.000 1.580
Al 0.000 2.069 6.495
Al 2.259 0.000 10.632
Al 0.000 0.000 4.843
Ge 2.259 2.069 0.858
```